# 1
{
  "formula": "ZrFe2Si",
  "functional": "meta-GGA SCAN",
  "state": "PBEsol geometry",
  "cell": [[3.971, 0.000, 0.000], [0.000, 3.971, 0.000], [0.000, 0.000, 6.980]],
  "species": ["Zr", "Zr", "Fe", "Fe", "Fe", "Fe", "Si", "Si"],
  "fractional_positions": [[0.000, 0.000, 0.000], [0.500, 0.500, 0.500], [0.000, 0.000, 0.500], [0.000, 0.500, 0.250], [0.500, 0.000, 0.750], [0.500, 0.500, 0.000], [0.000, 0.500, 0.750], [0.500, 0.000, 0.250]],
  "formation_energy_uncorrected_ev_per_fu": -0.88
}

=====

# 2
{
  "formula": "Be2PdAu2",
  "functional": "meta-GGA SCAN",
  "state": "PBEsol geometry",
  "cell": [[6.671, 0.000, 0.000], [0.000, 6.671, 0.000], [0.000, 0.000, 2.878]],
  "species": ["Be", "Be", "Be", "Be", "Pd", "Pd", "Au", "Au", "Au", "Au"],
  "fractional_positions": [[0.139, 0.361, 0.000], [0.361, 0.861, 0.000], [0.639, 0.139, 0.000], [0.861, 0.639, 0.000], [0.000, 0.000, 0.000], [0.500, 0.500, 0.000], [0.155, 0.655, 0.500], [0.345, 0.155, 0.500], [0.655, 0.845, 0.500], [0.845, 0.345, 0.500]],
  "de_polymorph_ev_per_atom": 0.0000,
  "e_form_ev_per_atom": -0.374
}

=====

# 3
{
  "formula": "Hf2Be2Cd",
  "functional": "meta-GGA SCAN",
  "state": "PBEsol geometry",
  "cell": [[6.343, 0.000, 0.000], [0.000, 6.343, 0.000], [0.000, 0.000, 3.855]],
  "species": ["Hf", "Hf", "Hf", "Hf", "Be", "Be", "Be", "Be", "Cd", "Cd"],
  "fractional_positions": [[0.168, 0.332, 0.000], [0.332, 0.832, 0.000], [0.668, 0.168, 0.000], [0.832, 0.668, 0.000], [0.122, 0.622, 0.500], [0.378, 0.122, 0.500], [0.622, 0.878, 0.500], [0.878, 0.378, 0.500], [0.000, 0.000, 0.500], [0.500, 0.500, 0.500]],
  "e_form_ev_per_atom": -0.198
}

=====

# 4
{
  "formula": "CaHg3",
  "functional": "meta-GGA SCAN",
  "state": "PBEsol geometry",
  "cell": [[6.546, 0.000, 0.000], [-3.273, 5.669, 0.000], [0.000, 0.000, 5.025]],
  "species": ["Ca", "Ca", "Hg", "Hg", "Hg", "Hg", "Hg", "Hg"],
  "fractional_positions": [[0.333, 0.667, 0.250], [0.667, 0.333, 0.750], [0.163, 0.325, 0.750], [0.163, 0.837, 0.750], [0.325, 0.163, 0.250], [0.675, 0.837, 0.750], [0.837, 0.163, 0.250], [0.837, 0.675, 0.250]],
  "e_form_ev_per_atom": -0.498
}

=====

# 5
{
  "formula": "TaReRu2",
  "functional": "meta-GGA SCAN",
  "state": "PBEsol geometry",
  "cell": [[4.707, 0.000, 0.000], [0.000, 2.774, 0.000], [-1.565, 0.000, 4.497]],
  "species": ["Ta", "Re", "Ru", "Ru"],
  "fractional_positions": [[0.000, 0.000, 0.000], [0.000, 0.500, 0.500], [0.500, 0.000, 0.500], [0.500, 0.500, 0.000]],
  "de_polymorph_ev_per_atom": 0.0000,
  "e_form_ev_per_atom": -0.029
}

=====

# 6
{
  "formula": "CaIn2H",
  "functional": "meta-GGA SCAN",
  "state": "PBEsol geometry",
  "cell": [[7.093, 0.000, 0.000], [0.000, 7.093, 0.000], [0.000, 0.000, 7.093]],
  "species": ["Ca", "Ca", "Ca", "Ca", "In", "In", "In", "In", "In", "In", "In", "In", "H", "H", "H", "H"],
  "fractional_positions": [[0.000, 0.000, 0.000], [0.000, 0.500, 0.500], [0.500, 0.000, 0.500], [0.500, 0.500, 0.000], [0.250, 0.250, 0.250], [0.250, 0.250, 0.750], [0.250, 0.750, 0.250], [0.250, 0.750, 0.750], [0.750, 0.250, 0.250], [0.750, 0.250, 0.750], [0.750, 0.750, 0.250], [0.750, 0.750, 0.750], [0.000, 0.000, 0.500], [0.000, 0.500, 0.000], [0.500, 0.000, 0.000], [0.500, 0.500, 0.500]]
}

=====

E_tot per entry: -155.70; -363.34; -330.92; -432.31; -207.45; -313.86 eV/cell
DOS(E_F) per entry: 2.846; 3.616; 3.834; 3.379; 4.154; 8.815 states/eV per cell
V per entry: 55; 64; 78; 93; 59; 89 Å³/f.u.